# TcPtRh PBE relaxed
data_TcPtRh
_space_group_name_H-M_alt 'P 1'
_space_group_IT_number 1
_space_group_name_Hall 'P 1'
_cell_length_a 6.233
_cell_length_b 6.233
_cell_length_c 2.730
_cell_angle_alpha 77.35
_cell_angle_beta 77.35
_cell_angle_gamma 25.30
loop_
_atom_site_label
_atom_site_fract_x
_atom_site_fract_y
_atom_site_fract_z
_atom_site_occupancy
Tc1 0.671 0.671 0.329 1
Rh1 0.326 0.326 0.674 1
Pt1 0.003 0.003 0.997 1
# Magnetic moment ... 0.007 μB per formula unit
# Space-group type ... I4mm
# Energy above the lowest structure with this stoichiometry ... 38 meV/atom
# ΔH_f (0 K) ... -3.15 kcal/mol of atoms
# VASP energy ... -8.056 eV/atom